[1]
A plane-wave DFT calculation with PBEsol was carried out for a relaxed CrSi2Ge2 crystal.

The calculation puts the total energy at -5.76 eV/atom. As for the space group: No. 139.

Cell and atoms, written as extended XYZ:
```
5
Lattice="3.485 0.000 0.000 0.000 3.485 0.000 -1.742 -1.742 6.978" Properties=species:S:1:pos:R:3 pbc="T T T"
Ge 1.742 0.000 3.489
Ge 0.000 1.742 3.489
Cr 0.000 0.000 0.000
Si 1.742 1.742 1.170
Si 0.000 0.000 5.809
```

---

[2]
A plane-wave DFT calculation with PBEsol was carried out for a relaxed CrSiGe3 crystal.

The calculation puts the total energy at -5.55 eV/atom. As for the space group: No. 221.

Cell and atoms, written as extended XYZ:
```
5
Lattice="4.588 0.000 0.000 0.000 4.588 0.000 0.000 0.000 4.588" Properties=species:S:1:pos:R:3 pbc="T T T"
Ge 0.000 2.294 0.000
Ge 0.000 0.000 2.294
Ge 2.294 0.000 0.000
Si 2.294 2.294 2.294
Cr 0.000 0.000 0.000
```

---

[3]
A plane-wave DFT calculation with PBEsol was carried out for a relaxed CrSi3Ge crystal.

The calculation puts the total energy at -5.94 eV/atom. As for the space group: No. 221.

Cell and atoms, written as extended XYZ:
```
5
Lattice="4.448 0.000 0.000 0.000 4.448 0.000 0.000 0.000 4.448" Properties=species:S:1:pos:R:3 pbc="T T T"
Si 0.000 2.224 0.000
Si 0.000 0.000 2.224
Si 2.224 0.000 0.000
Ge 2.224 2.224 2.224
Cr 0.000 0.000 0.000
```

---

[4]
A plane-wave DFT calculation with PBEsol was carried out for a relaxed Ta3CrGe crystal.

As for the space group: No. 221. The energy relative to the elements comes out at 1.346 eV per atom.

Cell and atoms, written as extended XYZ:
```
5
Lattice="-4.008 0.840 2.248 0.651 -3.831 2.592 2.310 2.537 3.170" Properties=species:S:1:pos:R:3 pbc="T T T"
Ta 1.155 1.269 1.585
Ta -2.004 0.420 1.124
Ta 0.326 -1.915 1.296
Cr -0.523 -0.227 4.005
Ge 0.000 0.000 0.000
```

---

[5]
A plane-wave DFT calculation with PBEsol was carried out for a relaxed TlCrGe3 crystal.

As for the space group: No. 221. The energy relative to the elements comes out at 1.447 eV per atom.

Cell and atoms, written as extended XYZ:
```
5
Lattice="5.208 0.000 0.000 0.000 5.208 0.000 0.000 0.000 5.208" Properties=species:S:1:pos:R:3 pbc="T T T"
Cr 2.604 2.604 2.604
Ge 2.604 0.000 0.000
Ge 0.000 2.604 0.000
Ge 0.000 0.000 2.604
Tl 0.000 0.000 0.000
```

---

[6]
A plane-wave DFT calculation with PBEsol was carried out for a relaxed TlCr2GeW crystal.

As for the space group: No. 123. The energy relative to the elements comes out at 1.233 eV per atom.

Cell and atoms, written as extended XYZ:
```
5
Lattice="-2.282 -4.140 0.300 4.130 -2.231 0.629 -0.418 0.577 4.789" Properties=species:S:1:pos:R:3 pbc="T T T"
Ge -0.209 0.289 2.394
Cr 2.065 -1.116 0.315
Cr -1.141 -2.070 0.150
Tl 0.715 -2.897 2.859
W 0.000 0.000 0.000
```